! LiCrCu2 PBE-GGA optimized geometry; values from VASP
&SYSTEM
  ibrav = 0, nat = 4, ntyp = 3
/
ATOMIC_SPECIES
Li 6.94 Li.upf
Cu 63.55 Cu.upf
Cr 52.00 Cr.upf
CELL_PARAMETERS angstrom
-1.107 -1.956 1.009
0.550 -1.340 -1.993
6.923 -2.179 3.375
ATOMIC_POSITIONS crystal
Li 0.500 0.500 0.250
Cu 0.000 0.000 0.994
Cu 0.000 0.000 0.506
Cr 0.500 0.500 0.750
! formation energy from the elements = 0.1750 eV/atom
! energy relative to the lowest polymorph listed for this composition = 0 meV/atom

---

! SrTl PBE-GGA optimized geometry; values from VASP
&SYSTEM
  ibrav = 0, nat = 12, ntyp = 2
/
ATOMIC_SPECIES
Sr 87.62 Sr.upf
Tl 204.38 Tl.upf
CELL_PARAMETERS angstrom
9.401 0.000 0.000
0.000 9.401 0.000
0.000 0.000 9.401
ATOMIC_POSITIONS crystal
Sr 0.250 0.000 0.500
Sr 0.500 0.750 0.000
Sr 0.000 0.500 0.750
Sr 0.750 0.000 0.500
Sr 0.000 0.500 0.250
Sr 0.500 0.250 0.000
Tl 0.500 0.000 0.250
Tl 0.500 0.000 0.750
Tl 0.250 0.500 0.000
Tl 0.000 0.250 0.500
Tl 0.000 0.750 0.500
Tl 0.750 0.500 0.000
! formation energy from the elements = 0.4001 eV/atom

---

! BTeRuI2 PBE-GGA optimized geometry; values from VASP
&SYSTEM
  ibrav = 0, nat = 5, ntyp = 4
/
ATOMIC_SPECIES
Te 127.60 Te.upf
B 10.81 B.upf
Ru 101.07 Ru.upf
I 126.90 I.upf
CELL_PARAMETERS angstrom
-1.171 1.178 5.350
-3.565 -4.317 0.170
3.692 -2.991 1.467
ATOMIC_POSITIONS crystal
Te 0.000 0.000 0.500
B 0.500 0.500 0.500
Ru 0.000 0.000 0.000
I 0.500 0.000 0.000
I 0.000 0.500 0.000
! energy relative to the lowest polymorph listed for this composition = 0 meV/atom
! ΔE_f (raw) = 605.1 kJ/mol of formula units

---

! Ba2AcTh PBE-GGA optimized geometry; values from VASP
&SYSTEM
  ibrav = 0, nat = 4, ntyp = 3
/
ATOMIC_SPECIES
Ba 137.33 Ba.upf
Th 232.04 Th.upf
Ac 227.00 Ac.upf
CELL_PARAMETERS angstrom
3.812 0.000 0.000
1.906 3.302 0.000
1.906 1.101 14.399
ATOMIC_POSITIONS crystal
Ba 0.085 0.085 0.744
Ba 0.915 0.915 0.256
Th 0.000 0.000 0.000
Ac 0.500 0.500 0.500
! formation energy from the elements = 0.4482 eV/atom

---

! Ce5NdPb6 PBE-GGA optimized geometry; values from VASP
&SYSTEM
  ibrav = 0, nat = 12, ntyp = 3
/
ATOMIC_SPECIES
Ce 140.12 Ce.upf
Pb 207.20 Pb.upf
Nd 144.24 Nd.upf
CELL_PARAMETERS angstrom
5.710 0.006 -1.757
-0.733 6.194 -2.360
-0.041 0.224 10.023
ATOMIC_POSITIONS crystal
Ce 0.000 0.500 0.000
Ce 0.665 0.165 0.330
Ce 0.333 0.333 0.666
Ce 0.335 0.835 0.670
Ce 0.667 0.667 0.334
Pb 0.833 0.582 0.666
Pb 0.167 0.418 0.334
Pb 0.500 0.251 0.000
Pb 0.833 0.083 0.666
Pb 0.167 0.917 0.334
Pb 0.500 0.749 0.000
Nd 0.000 0.000 0.000
! formation energy from the elements = -0.4153 eV/atom
! energy relative to the lowest polymorph listed for this composition = 0 meV/atom

---

! Sr2CaAlF PBE-GGA optimized geometry; values from VASP
&SYSTEM
  ibrav = 0, nat = 5, ntyp = 4
/
ATOMIC_SPECIES
Sr 87.62 Sr.upf
Ca 40.08 Ca.upf
F 19.00 F.upf
Al 26.98 Al.upf
CELL_PARAMETERS angstrom
-1.699 -2.621 4.221
4.845 0.118 2.023
-1.056 4.350 2.276
ATOMIC_POSITIONS crystal
Sr 0.000 0.500 0.000
Sr 0.500 0.000 0.000
Ca 0.000 0.000 0.500
F 0.000 0.000 0.000
Al 0.500 0.500 0.500
! energy relative to the lowest polymorph listed for this composition = 0 meV/atom
! ΔE_f (raw) = -531.0 kJ/mol of formula units

---

For each record above, in turn, the calculated spin magnetization values are 0.38 2.82 0.00 0.00 5.87 0.00 μB per cell.